First-principles (PBE-GGA) data for crystalline TiCr3N at its relaxed geometry, as listed in the Alexandria database.

It has space group Pm-3m (No. 221), with a = 3.863 Å, b = 3.863 Å, c = 3.863 Å, α = 90.00°, β = 90.00° and γ = 90.00°. Symmetry generates all atoms from Ti at (0.000, 0.000, 0.000), Cr at (0.000, 0.500, 0.500) and N at (0.500, 0.500, 0.500).

The density of states at the Fermi level is 6.9 states/eV per cell. The raw formation energy comes out at -0.28 eV per atom.